w | The following is a DFT calculation (PBE) of an optimized crystal structure of TiHRh.

a = 2.923 Å, b = 3.723 Å, c = 3.723 Å
α = 120.00°, β = 90.00°, γ = 90.00°
Atoms (fractional coordinates):
Ti1 0.667 0.667 0.333
H1 0.166 0.000 0.000
Rh1 0.167 0.333 0.667

* space-group type: P-6m2

x | The following is a DFT calculation (PBE) of an optimized crystal structure of TiHRh.

a = 3.050 Å, b = 3.050 Å, c = 4.462 Å
α = 109.99°, β = 109.99°, γ = 90.00°
Atoms (fractional coordinates):
Ti1 0.573 0.573 0.146
Rh1 0.255 0.255 0.511
H1 0.021 0.021 0.043

* space-group type: I4mm

The structure with the most favorable energy is x; the runner-up is 0.021 eV/atom above it.

w | The following is a DFT calculation (PBE) of an optimized crystal structure of TiHRh.

a = 2.902 Å, b = 5.270 Å, c = 5.339 Å
α = 81.29°, β = 74.24°, γ = 56.53°
Atoms (fractional coordinates):
Rh1 0.344 0.394 0.620
Rh2 0.016 0.895 0.276
H1 0.732 0.397 0.838
H2 0.628 0.892 0.058
Ti1 0.286 0.894 0.736
Ti2 0.074 0.394 0.160

* space-group type: C2/m

x | The following is a DFT calculation (PBE) of an optimized crystal structure of TiHRh.

a = 2.961 Å, b = 2.961 Å, c = 9.217 Å
α = 98.96°, β = 98.97°, γ = 59.98°
Atoms (fractional coordinates):
Rh1 0.886 0.887 0.151
Rh2 0.114 0.113 0.849
H1 0.200 0.201 0.090
H2 0.800 0.799 0.910
Ti1 0.295 0.295 0.378
Ti2 0.705 0.705 0.622

* space-group type: C2/m

The structure with the most favorable energy is w; the runner-up is 0.248 eV/atom above it.

w | The following is a DFT calculation (PBE) of an optimized crystal structure of Ti2VHRh.

a = 4.268 Å, b = 4.268 Å, c = 3.513 Å
α = 90.00°, β = 90.00°, γ = 90.00°
Last column: magnetic moment on the atom in μB.
Atoms (fractional coordinates):
V1 0.500 0.500 0.500  1.36
Ti1 0.500 0.000 0.000  0.01
Ti2 0.000 0.500 0.000  0.01
Rh1 0.000 0.000 0.500  0.04
H1 0.000 0.000 0.000  0.00

* space-group type: P4/mmm

x | The following is a DFT calculation (PBE) of an optimized crystal structure of Ti2VHRh.

a = 4.301 Å, b = 4.301 Å, c = 3.345 Å
α = 90.00°, β = 90.00°, γ = 90.00°
Atoms (fractional coordinates):
Ti1 0.500 0.000 0.000
Ti2 0.000 0.500 0.000
V1 0.000 0.000 0.500
Rh1 0.500 0.500 0.500
H1 0.000 0.000 0.000

* space-group type: P4/mmm

The structure with the most favorable energy is x; the runner-up is 0.114 eV/atom above it.

w | The following is a DFT calculation (PBE) of an optimized crystal structure of TiVHRh2.

a = 3.918 Å, b = 3.918 Å, c = 3.886 Å
α = 90.00°, β = 90.00°, γ = 90.00°
Last column: magnetic moment on the atom in μB.
Atoms (fractional coordinates):
H1 0.000 0.000 0.000  0.00
Ti1 0.000 0.000 0.500  0.09
V1 0.500 0.500 0.500  0.61
Rh1 0.500 0.000 0.000  -0.01
Rh2 0.000 0.500 0.000  -0.01

* space-group type: P4/mmm

x | The following is a DFT calculation (PBE) of an optimized crystal structure of TiVHRh2.

a = 3.934 Å, b = 3.934 Å, c = 3.854 Å
α = 90.00°, β = 90.00°, γ = 90.00°
Last column: magnetic moment on the atom in μB.
Atoms (fractional coordinates):
Rh1 0.000 0.500 0.000  -0.01
Rh2 0.500 0.000 0.000  -0.01
H1 0.000 0.000 0.000  0.00
Ti1 0.500 0.500 0.500  0.18
V1 0.000 0.000 0.500  0.69

* space-group type: P4/mmm

The structure with the most favorable energy is x; the runner-up is 0.014 eV/atom above it.

w | The following is a DFT calculation (PBE) of an optimized crystal structure of Ti2ZnHRh.

a = 4.007 Å, b = 4.007 Å, c = 3.901 Å
α = 90.00°, β = 90.00°, γ = 90.00°
Atoms (fractional coordinates):
Rh1 0.000 0.000 0.500
H1 0.000 0.000 0.000
Zn1 0.500 0.500 0.500
Ti1 0.500 0.000 0.000
Ti2 0.000 0.500 0.000

* space-group type: P4/mmm

x | The following is a DFT calculation (PBE) of an optimized crystal structure of Ti2ZnHRh.

a = 3.928 Å, b = 3.928 Å, c = 4.016 Å
α = 90.00°, β = 90.00°, γ = 90.00°
Atoms (fractional coordinates):
Rh1 0.500 0.500 0.500
Zn1 0.000 0.000 0.500
Ti1 0.000 0.500 0.000
Ti2 0.500 0.000 0.000
H1 0.000 0.000 0.000

* space-group type: P4/mmm

The structure with the most favorable energy is w; the runner-up is 0.035 eV/atom above it.

w | The following is a DFT calculation (PBE) of an optimized crystal structure of TiZnHRh2.

a = 4.050 Å, b = 4.050 Å, c = 3.659 Å
α = 90.00°, β = 90.00°, γ = 90.00°
Atoms (fractional coordinates):
H1 0.000 0.000 0.000
Ti1 0.500 0.500 0.500
Rh1 0.000 0.500 0.000
Rh2 0.500 0.000 0.000
Zn1 0.000 0.000 0.500

* space-group type: P4/mmm

x | The following is a DFT calculation (PBE) of an optimized crystal structure of TiZnHRh2.

a = 4.008 Å, b = 4.008 Å, c = 3.736 Å
α = 90.00°, β = 90.00°, γ = 90.00°
Atoms (fractional coordinates):
Rh1 0.500 0.000 0.000
Rh2 0.000 0.500 0.000
Zn1 0.500 0.500 0.500
Ti1 0.000 0.000 0.500
H1 0.000 0.000 0.000

* space-group type: P4/mmm

The structure with the most favorable energy is x; the runner-up is 0.108 eV/atom above it.